No. 1
An optimized crystal structure of Sc4MnIr. Source: Alexandria via LeMat-Bulk, functional GGA-PBE.

DFT formation energy, meV/atom: 396
Calculated total energy, eV per atom: -6.830

Cell: 5.4797 5.4797 5.4797 Å, 60.00 60.00 60.00°
Each line ends with the local moment (μB).
Positions (direct):
1 Sc 0.8732 0.3756 0.3756  -0.29
2 Sc 0.3756 0.3756 0.8732  -0.29
3 Sc 0.3756 0.8732 0.3756  -0.29
4 Sc 0.3756 0.3756 0.3756  -0.29
5 Mn 0.0000 0.0000 0.0000  3.70
6 Ir 0.7500 0.7500 0.7500  -0.04



No. 2
An optimized crystal structure of MnCuReTe2. Source: Alexandria via LeMat-Bulk, functional GGA-PBE.

Calculated total energy, eV per atom: -5.019

Cell: 4.9698 4.4430 4.9698 Å, 90.00 90.00 90.00°
Each line ends with the local moment (μB).
Positions (direct):
1 Re 0.5000 0.5000 0.5000  2.52
2 Te 0.0000 0.0000 0.5000  -0.08
3 Te 0.5000 0.0000 0.0000  -0.09
4 Cu 0.0000 0.5000 0.0000  0.13
5 Mn 0.0000 0.0000 0.0000  2.59